5
Lattice="3.690 0.000 0.000 0.000 3.690 0.000 0.000 0.000 6.108" Properties=species:S:1:pos:R:3 comment="CrPtWO2, optimized geometry, DFT PBE with a Hubbard U" dft_energy_ev_per_atom=-5.94 magmom_total_mub_per_atom=0.74 mass_density_g_cm3=9.24 sg=P4/mmm pbc="T T T"
Cr 0.000 0.000 0.000
Pt 1.845 1.845 3.054
W 0.000 0.000 3.054
O 0.000 1.845 0.000
O 1.845 0.000 0.000